A geometry-optimized Ba6HPt2 structure, computed with PBE.

Cell lengths 7.3960, 7.7439, 13.4712 Å; angles 90.01, 90.00, 90.00 degrees
Fractional positions:
Ba: 0.2430 0.1648 0.6643
Ba: 0.2444 0.1647 0.3358
Ba: 0.2780 0.1712 0.0002
Ba: 0.7780 0.3288 0.4998
Ba: 0.7444 0.3353 0.1642
Ba: 0.7430 0.3352 0.8357
Ba: 0.7570 0.8352 0.3357
Ba: 0.7556 0.8353 0.6642
Ba: 0.7220 0.8288 0.9998
Ba: 0.2220 0.6712 0.5002
Ba: 0.2556 0.6647 0.8358
Ba: 0.2570 0.6648 0.1643
H: 0.5000 0.5000 0.0000
H: 0.0000 0.0000 0.5000
Pt: 0.5007 0.0001 0.1730
Pt: 0.0007 0.4999 0.3270
Pt: 0.9993 0.5001 0.6730
Pt: 0.4993 0.9999 0.8270

Calculated values
Raw total energy ... -0.25743 Ry/atom
Space group ... No. 14

=====

A geometry-optimized Ac3Er structure, computed with PBE.

Cell lengths 5.4693, 5.4693, 5.4693 Å; angles 90.00, 90.00, 90.00 degrees
Fractional positions:
Ac: 0.0000 0.5000 0.5000
Ac: 0.5000 0.0000 0.5000
Ac: 0.5000 0.5000 0.0000
Er: 0.0000 0.0000 0.0000

Calculated values
E above lowest polymorph ... 0 meV/atom
Raw total energy ... -0.30738 Ry/atom
Calculated formation energy ... 0.040 eV/atom
Space group ... No. 221

=====

A geometry-optimized GaSe2NO structure, computed with PBE.

Cell lengths 4.5082, 4.5082, 3.9254 Å; angles 90.00, 90.00, 90.00 degrees
Site moments in Bohr magnetons follow the coordinates.
Fractional positions:
O: 0.0000 0.0000 0.0000  -0.01
Ga: 0.5000 0.5000 0.5000  -0.01
Se: 0.0000 0.5000 0.0000  0.09
Se: 0.5000 0.0000 0.0000  0.09
N: 0.0000 0.0000 0.5000  1.06

Calculated values
Formation energy without anion corrections ... 1155 meV/atom
E above lowest polymorph ... 0 meV/atom
Raw total energy ... -0.25731 Ry/atom
Space group ... No. 123

=====

A geometry-optimized LiAgPt2 structure, computed with PBE.

Cell lengths 2.7462, 2.7462, 8.1060 Å; angles 90.00, 90.00, 90.00 degrees
Fractional positions:
Ag: 0.5000 0.5000 0.2500
Li: 0.5000 0.5000 0.7500
Pt: 0.0000 0.0000 0.9802
Pt: 0.0000 0.0000 0.5198

Calculated values
E above lowest polymorph ... 124 meV/atom
Raw total energy ... -0.32592 Ry/atom
Calculated formation energy ... -0.223 eV/atom
Space group ... No. 123